Entry 1:
A relaxed structure of CePdSe3. Source: the Alexandria database, functional PBE-GGA.

DOS(E_F) (states/eV/cell): 23.8
Excess energy over the best structure of this formula in the dataset (kJ/mol of formula units): 10.7
Crystal system: monoclinic
E_tot (eV per atom): -5.31

Cell and atoms, written as CIF:
```
data_CePdSe3
_space_group_name_H-M_alt 'P 1 21/c 1'
_space_group_IT_number 14
_cell_length_a 7.8326
_cell_length_b 6.0504
_cell_length_c 10.0191
_cell_angle_alpha 90.00
_cell_angle_beta 100.84
_cell_angle_gamma 90.00
loop_
_space_group_symop_operation_xyz
'x,y,z'
'-x,-y,-z'
'-x,y+1/2,-z+1/2'
'x,-y+1/2,z+1/2'
loop_
_atom_site_label
_atom_site_fract_x
_atom_site_fract_y
_atom_site_fract_z
Ce1 0.1764 0.2325 0.1624
Pd1 0.3947 0.7404 0.5840
Se1 0.0728 0.7266 0.1161
Se2 0.3052 0.0893 0.9282
Se3 0.4434 0.5894 0.8344
```

Entry 2:
A relaxed structure of CePd3Se4. Source: the Alexandria database, functional PBE-GGA.

DOS(E_F) (states/eV/cell): 14.2
Crystal system: cubic
E_tot (eV per atom): -5.25

Cell and atoms, written as CIF:
```
data_CePd3Se4
_space_group_name_H-M_alt 'P m -3 n'
_space_group_IT_number 223
_space_group_name_Hall '-P 4n 2 3'
_cell_length_a 7.0646
_cell_length_b 7.0646
_cell_length_c 7.0646
_cell_angle_alpha 90.00
_cell_angle_beta 90.00
_cell_angle_gamma 90.00
loop_
_atom_site_label
_atom_site_fract_x
_atom_site_fract_y
_atom_site_fract_z
Ce1 0.0000 0.0000 0.0000
Pd1 0.0000 0.2500 0.5000
Se1 0.2500 0.2500 0.2500
```

Entry 3:
A relaxed structure of Ce2PdSe. Source: the Alexandria database, functional PBE-GGA.

DOS(E_F) (states/eV/cell): 36.3
Excess energy over the best structure of this formula in the dataset (kJ/mol of formula units): 0.0
Crystal system: trigonal
E_tot (eV per atom): -6.25

Cell and atoms, written as CIF:
```
data_Ce2PdSe
_space_group_name_H-M_alt 'R -3 m'
_space_group_IT_number 166
_space_group_name_Hall '-R 3 2"'
_cell_length_a 4.0798
_cell_length_b 4.0798
_cell_length_c 21.8784
_cell_angle_alpha 90.00
_cell_angle_beta 90.00
_cell_angle_gamma 120.00
loop_
_atom_site_label
_atom_site_fract_x
_atom_site_fract_y
_atom_site_fract_z
Ce1 0.0000 0.0000 0.2473
Pd1 0.0000 0.0000 0.5000
Se1 0.0000 0.0000 0.0000
```

Entry 4:
A relaxed structure of Ce2PdSe4. Source: the Alexandria database, functional PBE-GGA.

Excess energy over the best structure of this formula in the dataset (kJ/mol of formula units): 0.0
Crystal system: orthorhombic
E_tot (eV per atom): -5.82

Cell and atoms, written as CIF:
```
data_Ce2PdSe4
_space_group_name_H-M_alt 'F d d 2'
_space_group_IT_number 43
_space_group_name_Hall 'F 2 -2d'
_cell_length_a 13.2109
_cell_length_b 13.2364
_cell_length_c 8.8036
_cell_angle_alpha 90.00
_cell_angle_beta 90.00
_cell_angle_gamma 90.00
loop_
_atom_site_label
_atom_site_fract_x
_atom_site_fract_y
_atom_site_fract_z
Ce1 0.0222 0.2721 0.0000
Pd1 0.0000 0.0000 0.6241
Se1 0.0825 0.3607 0.2864
Se2 0.1101 0.3333 0.7135
```

Entry 5:
A relaxed structure of Ce2Pd4Se5. Source: the Alexandria database, functional PBE-GGA.

DOS(E_F) (states/eV/cell): 45.2
Crystal system: trigonal
E_tot (eV per atom): -5.41

Cell and atoms, written as CIF:
```
data_Ce2Pd4Se5
_space_group_name_H-M_alt 'R -3 m'
_space_group_IT_number 166
_space_group_name_Hall '-R 3 2"'
_cell_length_a 4.2033
_cell_length_b 4.2033
_cell_length_c 49.9575
_cell_angle_alpha 90.00
_cell_angle_beta 90.00
_cell_angle_gamma 120.00
loop_
_atom_site_label
_atom_site_fract_x
_atom_site_fract_y
_atom_site_fract_z
Ce1 0.0000 0.0000 0.1299
Pd1 0.0000 0.0000 0.3167
Pd2 0.0000 0.0000 0.4195
Se1 0.0000 0.0000 0.2355
Se2 0.0000 0.0000 0.3676
Se3 0.0000 0.0000 0.5000
```

Entry 6:
A relaxed structure of CePdSe3. Source: the Alexandria database, functional PBE-GGA.

DOS(E_F) (states/eV/cell): 18.4
Excess energy over the best structure of this formula in the dataset (kJ/mol of formula units): 0.0
Crystal system: orthorhombic
E_tot (eV per atom): -5.33

Cell and atoms, written as CIF:
```
data_CePdSe3
_space_group_name_H-M_alt 'P n m a'
_space_group_IT_number 62
_cell_length_a 11.6532
_cell_length_b 4.0626
_cell_length_c 9.6984
_cell_angle_alpha 90.00
_cell_angle_beta 90.00
_cell_angle_gamma 90.00
loop_
_space_group_symop_operation_xyz
'x,y,z'
'-x,-y,-z'
'-x+1/2,-y,z+1/2'
'x+1/2,y,-z+1/2'
'x+1/2,-y+1/2,-z+1/2'
'-x+1/2,y+1/2,z+1/2'
'-x,y+1/2,-z'
'x,-y+1/2,z'
loop_
_atom_site_label
_atom_site_fract_x
_atom_site_fract_y
_atom_site_fract_z
Ce1 0.1808 0.2500 0.0388
Pd1 0.0327 0.7500 0.6753
Se1 0.0323 0.7500 0.1591
Se2 0.1241 0.2500 0.5271
Se3 0.2105 0.7500 0.8220
```

- Which of these has the highest E_tot?
  CePd3Se4

- Which formula does entry 4 have?
  Ce2PdSe4